# 1
VASP calculation (PBE) on crystalline CuRh2Br at its relaxed geometry.

abc: 8.227 8.227 8.227
angles: 20.87 20.87 20.87
Sites, in units of the cell vectors:
Cu 0.750 0.750 0.750
Rh 0.498 0.498 0.498
Rh 0.002 0.002 0.002
Br 0.250 0.250 0.250

distance to the lowest polymorph of the same formula = 0.121 eV/atom
V = 15.465 A^3/atom

# 2
VASP calculation (PBE) on crystalline Cs2Tl6Ga at its relaxed geometry.

abc: 6.769 7.501 7.501
angles: 120.00 90.00 90.00
Sites, in units of the cell vectors:
Cs 0.336 0.667 0.333
Cs 0.664 0.333 0.667
Tl 0.822 0.331 0.166
Tl 0.822 0.834 0.669
Tl 0.178 0.669 0.834
Tl 0.178 0.166 0.834
Tl 0.178 0.166 0.331
Tl 0.822 0.834 0.166
Ga 0.500 0.000 0.000

distance to the lowest polymorph of the same formula = 0.034 eV/atom
V = 36.654 A^3/atom
formation energy from the elements = -30.2 meV per atom